{
  "formula": "KNi3As",
  "functional": "PBE-GGA",
  "state": "optimized geometry",
  "lattice_angstrom": [[4.547, 0.000, 0.000], [0.000, 4.547, 0.000], [0.000, 0.000, 4.547]],
  "species": ["Ni", "Ni", "Ni", "As", "K"],
  "fractional_positions": [[0.000, 0.500, 0.000], [0.000, 0.000, 0.500], [0.500, 0.000, 0.000], [0.000, 0.000, 0.000], [0.500, 0.500, 0.500]],
  "polymorph_energy_mev_per_atom": 0,
  "dos_at_fermi_per_ev_fu": 3.3,
  "m_tot_mub_per_cell": 1.8,
  "e_form_ev_per_fu": 1.6
}

---

{
  "formula": "VSnAu2",
  "functional": "PBE-GGA",
  "state": "optimized geometry",
  "lattice_angstrom": [[7.638, 0.000, 0.000], [0.000, 7.638, 0.000], [3.819, 3.819, 2.794]],
  "species": ["Au", "Au", "Au", "Au", "Sn", "Sn", "V", "V"],
  "fractional_positions": [[0.613, 0.125, 0.250], [0.137, 0.625, 0.250], [0.375, 0.387, 0.750], [0.875, 0.863, 0.750], [0.000, 0.000, 0.000], [0.750, 0.250, 0.500], [0.500, 0.500, 0.000], [0.250, 0.750, 0.500]],
  "dos_at_fermi_per_ev_fu": 4.4,
  "m_tot_mub_per_cell": 5.4,
  "e_form_ev_per_fu": 0.8
}

---

{
  "formula": "Pm2IrBr",
  "functional": "PBE-GGA",
  "state": "optimized geometry",
  "lattice_angstrom": [[3.478, 0.000, 0.000], [0.000, 3.478, 0.000], [0.000, 0.000, 8.317]],
  "species": ["Ir", "Br", "Pm", "Pm"],
  "fractional_positions": [[0.500, 0.500, 0.000], [0.500, 0.500, 0.500], [0.000, 0.000, 0.790], [0.000, 0.000, 0.210]],
  "polymorph_energy_mev_per_atom": 185,
  "raw_formation_energy_ev_per_atom": -0.9175,
  "dos_at_fermi_per_ev_fu": 2.2,
  "m_tot_mub_per_cell": 0.0
}

---

{
  "formula": "CsMgGa3",
  "functional": "PBE-GGA",
  "state": "optimized geometry",
  "lattice_angstrom": [[6.074, 0.000, 0.000], [0.000, 6.074, 0.000], [0.000, 0.000, 6.074]],
  "species": ["Cs", "Mg", "Ga", "Ga", "Ga"],
  "fractional_positions": [[0.000, 0.000, 0.000], [0.500, 0.500, 0.500], [0.000, 0.500, 0.000], [0.000, 0.000, 0.500], [0.500, 0.000, 0.000]],
  "polymorph_energy_mev_per_atom": 940,
  "dos_at_fermi_per_ev_fu": 9.9,
  "m_tot_mub_per_cell": 0.0,
  "e_form_ev_per_fu": 6.1
}

---

{
  "formula": "Ti2MoW3",
  "functional": "PBE-GGA",
  "state": "optimized geometry",
  "lattice_angstrom": [[-1.867, 2.458, -3.254], [6.364, -3.240, -3.011], [-5.598, -4.513, 2.892]],
  "species": ["Ti", "Ti", "Ti", "Ti", "Mo", "Mo", "W", "W", "W", "W", "W", "W"],
  "fractional_positions": [[0.250, 0.917, 0.083], [0.250, 0.247, 0.753], [0.750, 0.083, 0.917], [0.750, 0.753, 0.247], [0.250, 0.585, 0.415], [0.750, 0.415, 0.585], [0.004, 0.173, 0.337], [0.504, 0.337, 0.173], [0.000, 0.500, 0.000], [0.996, 0.827, 0.663], [0.500, 0.000, 0.500], [0.496, 0.663, 0.827]],
  "polymorph_energy_mev_per_atom": 83,
  "dos_at_fermi_per_ev_fu": 7.1,
  "m_tot_mub_per_cell": 0.0,
  "e_form_ev_per_fu": -0.1
}

---

{
  "formula": "Pr4Nd3Pb",
  "functional": "PBE-GGA",
  "state": "optimized geometry",
  "lattice_angstrom": [[-0.254, -5.538, 4.670], [1.122, -4.666, -5.471], [10.114, 0.748, 1.437]],
  "species": ["Pr", "Pr", "Pr", "Pr", "Pr", "Pr", "Pr", "Pr", "Pb", "Pb", "Nd", "Nd", "Nd", "Nd", "Nd", "Nd"],
  "fractional_positions": [[0.999, 0.811, 0.000], [0.500, 0.310, 0.000], [0.742, 0.061, 0.750], [0.258, 0.561, 0.750], [0.500, 0.810, 0.500], [0.001, 0.311, 0.500], [0.258, 0.561, 0.250], [0.742, 0.061, 0.250], [0.500, 0.811, 0.000], [0.500, 0.311, 0.500], [0.000, 0.310, 0.000], [0.261, 0.061, 0.750], [0.739, 0.561, 0.750], [0.000, 0.810, 0.500], [0.739, 0.561, 0.250], [0.261, 0.061, 0.250]],
  "dos_at_fermi_per_ev_fu": 11.0,
  "m_tot_mub_per_cell": 0.0,
  "e_form_ev_per_fu": -0.9
}